(A)
Entry from the Open Quantum Materials Database: an optimized crystal structure of SrCuNiS3 (PBE-GGA).

abc: 3.765 12.377 9.289
angles: 90.00 90.00 90.00
Space group Cmcm (No. 63)
Asymmetric unit:
1 Sr 0.000 0.244 0.250 x4
2 Cu 0.000 0.468 0.750 x4
3 Ni 0.000 0.000 0.000 x4
4 S 0.000 0.067 0.750 x4
5 S 0.000 0.375 0.539 x8

Output
volume	18.0	Å³ per atom
total magnetic moment	0.68	μB/f.u.
crystal system	orthorhombic

---

(B)
Entry from the Open Quantum Materials Database: an optimized crystal structure of SrCuNiS3 (PBE-GGA).

abc: 7.328 3.781 8.438
angles: 90.00 107.86 90.00
Space group P2_1/m (No. 11)
Asymmetric unit:
1 Sr 0.216 0.250 0.254 x2
2 Cu 0.089 0.250 0.596 x2
3 Ni 0.331 0.750 0.849 x2
4 S 0.117 0.250 0.873 x2
5 S 0.256 0.750 0.554 x2
6 S 0.459 0.750 0.129 x2

Output
volume	18.5	Å³ per atom
total magnetic moment	1.05	μB/f.u.
crystal system	monoclinic

---

What should be chosen as the most stable of them? Choose (B).

---

(A)
Entry from the Open Quantum Materials Database: an optimized crystal structure of CuNiSbW (PBE-GGA).

abc: 6.239 6.239 6.239
angles: 90.00 90.00 90.00
Space group F-43m (No. 216)
Asymmetric unit:
1 Cu 0.000 0.000 0.000 x4
2 Ni 0.000 0.000 0.500 x4
3 Sb 0.250 0.250 0.750 x4
4 W 0.250 0.250 0.250 x4

Output
volume	15.2	Å³ per atom
total magnetic moment	1.63	μB/f.u.
crystal system	cubic

---

(B)
Entry from the Open Quantum Materials Database: an optimized crystal structure of CuNiSbW (PBE-GGA).

abc: 6.259 6.259 6.259
angles: 90.00 90.00 90.00
Space group F-43m (No. 216)
Asymmetric unit:
1 Cu 0.000 0.000 0.000 x4
2 Ni 0.250 0.250 0.250 x4
3 Sb 0.250 0.250 0.750 x4
4 W 0.000 0.000 0.500 x4

Output
volume	15.3	Å³ per atom
total magnetic moment	0.07	μB/f.u.
crystal system	cubic

---

What should be chosen as the most stable of them? Choose (B).